This record from the Alexandria database describes a relaxed structure of NiPF2. The functional is PBE with a Hubbard U.

a b c (Å): 2.6423 2.6423 24.4294
angles (deg): 90.00 90.00 120.00
Space group R-3m (No. 166, hexagonal axes)
Unique sites:
Ni (0.0000, 0.0000, 0.0000)
P (0.0000, 0.0000, 0.5000)
F (0.0000, 0.0000, 0.4300)

Properties
Relative energy among the computed polymorphs = 0.000 eV per atom
V = 12.3 A^3/atom